DFT (SCAN) results for a crystal of PRuAu relaxed with PBEsol.

## Properties
Formation energy   0.286 eV/atom
Electronic total energy   -113.52 eV/cell
DOS at the Fermi energy   1.7 states/eV/f.u.

```
PRuAu
1.0
-3.9737 -0.6383 0.9302
-2.0531 -3.1299 -1.7468
-1.0899 -3.2762 2.2674
P Ru Au
1 1 1
Cartesian
-3.5583 -3.5222 0.7254
-1.7792 -1.7611 0.3627
0.0000 0.0000 0.0000
```